# 1
18
Lattice="-4.772 -0.023 4.551 -5.508 -4.553 -5.799 5.493 -4.650 5.736" Properties=species:S:1:pos:R:3 comment="Ce3TlHg5, relaxed, DFT PBE-GGA" formation_energy_ev_per_atom=-0.3182 vol_a3_per_atom=26.87 pbc="T T T"
Ce -3.584 -3.101 3.392
Hg -5.418 -1.538 1.476
Hg -4.227 -4.597 0.322
Tl 0.000 0.000 0.000
Hg -1.841 -4.585 -1.954
Ce 0.647 -1.564 3.059
Tl -2.386 -0.012 2.275
Ce -1.203 -6.125 1.096
Hg 1.826 -4.617 1.891
Hg -1.744 -1.571 5.329
Hg -0.560 -4.629 4.166
Ce -3.038 -1.531 -0.805
Ce -5.434 -7.662 1.428
Hg -1.198 -3.079 1.117
Hg -4.861 -3.038 -2.724
Hg -3.043 -7.655 -0.841
Hg -3.589 -6.146 3.371
Ce -7.241 -3.045 -0.443

---

# 2
9
Lattice="4.263 0.000 0.455 0.000 7.793 0.000 -0.815 -3.897 7.638" Properties=species:S:1:pos:R:3 comment="Pr2Sn6Pd, relaxed, DFT PBE-GGA" formation_energy_ev_per_atom=-0.4216 vol_a3_per_atom=28.51 pbc="T T T"
Pr 1.830 3.896 3.055
Sn 3.700 -2.428 5.732
Pd 0.000 0.000 0.000
Sn 2.132 1.822 0.228
Sn 3.700 2.427 5.732
Sn -0.252 6.324 2.360
Pr 1.618 0.000 5.037
Sn 1.316 2.074 7.864
Sn -0.252 1.469 2.360

---

# 3
4
Lattice="-0.497 3.645 -1.203 -3.542 0.031 1.559 2.892 2.547 6.520" Properties=species:S:1:pos:R:3 comment="BaInSe2, relaxed, DFT PBE-GGA" vol_a3_per_atom=28.36 e_form_raw_kj_per_mol_atoms=-90 pbc="T T T"
Ba -1.297 2.475 1.808
Se 2.850 2.509 6.424
Se 1.489 1.311 3.355
In 0.150 3.748 5.068

---

# 4
6
Lattice="-1.986 4.534 -3.248 -3.066 -0.964 0.529 -0.209 3.200 4.626" Properties=species:S:1:pos:R:3 comment="VHgN, relaxed, DFT PBE-GGA" relative_energy_ev_per_atom=0.024 vol_a3_per_atom=18.09 e_form_raw_kj_per_mol_atoms=-27 pbc="T T T"
N -1.675 5.152 -0.313
N -3.312 6.271 2.264
Hg -0.751 3.955 2.856
V -1.745 6.221 1.232
Hg -2.180 1.872 0.808
V -3.173 4.139 -0.817

---

# 5
9
Lattice="5.807 0.000 -3.338 -1.919 5.481 -3.338 0.318 0.448 7.272" Properties=species:S:1:pos:R:3 comment="SiAg4Te4, relaxed, DFT PBE-GGA" vol_a3_per_atom=27.64 e_form_raw_kj_per_mol_atoms=3 pbc="T T T"
Ag 2.903 0.000 -1.669
Te 3.774 5.321 -4.119
Te 1.480 2.087 -0.179
Ag -0.960 2.740 -1.669
Si 0.000 0.000 0.000
Te 3.857 0.607 2.745
Ag 2.527 3.563 -2.324
Te -0.702 3.841 2.745
Ag 1.678 2.366 2.919

---

# 6
5
Lattice="6.262 0.000 0.000 0.000 6.262 0.000 0.000 0.000 6.262" Properties=species:S:1:pos:R:3 comment="BaPtBr3, relaxed, DFT PBE-GGA" relative_energy_ev_per_atom=0.870 vol_a3_per_atom=49.10 e_form_raw_kj_per_mol_atoms=-14 pbc="T T T"
Br 0.000 3.131 0.000
Pt 3.131 3.131 3.131
Br 3.131 0.000 0.000
Br 0.000 0.000 3.131
Ba 0.000 0.000 0.000

---

# 7
6
Lattice="-1.481 1.481 -2.743 0.227 -2.978 -1.730 -9.312 -2.765 3.537" Properties=species:S:1:pos:R:3 comment="Ho3Cu2Ir, relaxed, DFT PBE-GGA" formation_energy_ev_per_atom=-0.4679 relative_energy_ev_per_atom=0.000 vol_a3_per_atom=20.52 pbc="T T T"
Ho 0.000 0.000 0.000
Cu -8.403 -3.057 0.717
Ho -3.173 -0.942 1.205
Ho -6.139 -1.823 2.332
Cu -2.163 -1.204 -1.653
Ir -5.283 -2.131 -0.468

---

# 8
5
Lattice="-0.974 5.524 2.045 -0.459 -2.137 5.556 5.872 0.749 0.774" Properties=species:S:1:pos:R:3 comment="La3CdTe, relaxed, DFT PBE-GGA" relative_energy_ev_per_atom=0.000 vol_a3_per_atom=42.56 e_form_raw_kj_per_mol_atoms=-22 pbc="T T T"
Cd 2.219 2.068 4.187
La -0.487 2.762 1.022
Te 0.000 0.000 0.000
La 2.936 0.375 0.387
La -0.230 -1.069 2.778